! NaNiO2 | the Alexandria database | PBE with a Hubbard U | optimized geometry; values from VASP
&SYSTEM
  ibrav = 0, nat = 4, ntyp = 3
/
ATOMIC_SPECIES
O 16.00 O.upf
Ni 58.69 Ni.upf
Na 22.99 Na.upf
CELL_PARAMETERS angstrom
2.868 0.000 0.000
1.434 2.694 0.000
1.434 0.706 5.271
ATOMIC_POSITIONS crystal
O 0.288 0.227 0.197
O 0.712 0.773 0.803
Ni 0.000 0.000 0.000
Na 0.500 0.500 0.500
! Total energy: -4.57 eV per atom